No. 1
VASP calculation (GGA-PBE) on a relaxed SrZrBe crystal.

Geometry as CIF:
```
data_SrZrBe
_chemical_formula_sum 'Sr4 Zr4 Be4'
_symmetry_space_group_name_H-M 'F -4 3 m'
_symmetry_Int_Tables_number 216
_symmetry_space_group_name_Hall 'F -4 2 3'
_cell_length_a 6.756
_cell_length_b 6.756
_cell_length_c 6.756
_cell_angle_alpha 90.00
_cell_angle_beta 90.00
_cell_angle_gamma 90.00
loop_
_atom_site_label
_atom_site_type_symbol
_atom_site_fract_x
_atom_site_fract_y
_atom_site_fract_z
Sr1 Sr 0.000 0.000 0.000
Zr1 Zr 0.250 0.250 0.250
Be1 Be 0.250 0.250 0.750
```

Results
excess energy over the best structure of this formula in the dataset = 75.8 kJ per mole of atoms

---

No. 2
VASP calculation (GGA-PBE) on a relaxed Zn2Tc crystal.

Geometry as CIF:
```
data_Zn2Tc
_chemical_formula_sum 'Zn8 Tc4'
_symmetry_space_group_name_H-M 'C m c m'
_symmetry_Int_Tables_number 63
_symmetry_space_group_name_Hall '-C 2c 2'
_cell_length_a 2.774
_cell_length_b 14.238
_cell_length_c 4.357
_cell_angle_alpha 90.00
_cell_angle_beta 90.00
_cell_angle_gamma 90.00
loop_
_atom_site_label
_atom_site_type_symbol
_atom_site_fract_x
_atom_site_fract_y
_atom_site_fract_z
Zn1 Zn 0.000 0.116 0.250
Zn2 Zn 0.000 0.215 0.750
Tc1 Tc 0.000 0.453 0.250
```

Results
excess energy over the best structure of this formula in the dataset = 2.7 kJ per mole of atoms
energy of formation = 0.15 eV/f.u.

---

No. 3
VASP calculation (GGA-PBE) on a relaxed BaHoAgTe2S crystal.

Geometry as CIF:
```
data_BaHoAgTe2S
_chemical_formula_sum 'Ba4 Ho4 Ag4 Te8 S4'
_symmetry_space_group_name_H-M 'C m c m'
_symmetry_Int_Tables_number 63
_symmetry_space_group_name_Hall '-C 2c 2'
_cell_length_a 4.392
_cell_length_b 14.968
_cell_length_c 10.779
_cell_angle_alpha 90.00
_cell_angle_beta 90.00
_cell_angle_gamma 90.00
loop_
_atom_site_label
_atom_site_type_symbol
_atom_site_fract_x
_atom_site_fract_y
_atom_site_fract_z
Ba1 Ba 0.000 0.230 0.250
Ho1 Ho 0.000 0.500 0.000
Ag1 Ag 0.000 0.022 0.750
Te1 Te 0.000 0.141 0.551
S1 S 0.000 0.431 0.750
```

---

No. 4
VASP calculation (GGA-PBE) on a relaxed HoPaAsO crystal.

Geometry as CIF:
```
data_HoPaAsO
_chemical_formula_sum 'Ho2 Pa2 As2 O2'
_symmetry_space_group_name_H-M 'P 4/n m m'
_symmetry_Int_Tables_number 129
_cell_length_a 4.204
_cell_length_b 4.204
_cell_length_c 9.295
_cell_angle_alpha 90.00
_cell_angle_beta 90.00
_cell_angle_gamma 90.00
loop_
_symmetry_equiv_pos_as_xyz
'x,y,z'
'-x,-y,-z'
'-y+1/2,x,z'
'y+1/2,-x,-z'
'-x+1/2,-y+1/2,z'
'x+1/2,y+1/2,-z'
'y,-x+1/2,z'
'-y,x+1/2,-z'
'x+1/2,-y,-z'
'-x+1/2,y,z'
'-y,-x,-z'
'y,x,z'
'-x,y+1/2,-z'
'x,-y+1/2,z'
'y+1/2,x+1/2,-z'
'-y+1/2,-x+1/2,z'
loop_
_atom_site_label
_atom_site_type_symbol
_atom_site_fract_x
_atom_site_fract_y
_atom_site_fract_z
Ho1 Ho 0.250 0.250 0.100
Pa1 Pa 0.250 0.750 0.500
As1 As 0.250 0.250 0.725
O1 O 0.250 0.750 0.000
```

Results
excess energy over the best structure of this formula in the dataset = 4.4 kJ per mole of atoms

---

No. 5
VASP calculation (GGA-PBE) on a relaxed KLiIr crystal.

Geometry as CIF:
```
data_KLiIr
_chemical_formula_sum 'K4 Li4 Ir4'
_symmetry_space_group_name_H-M 'F -4 3 m'
_symmetry_Int_Tables_number 216
_symmetry_space_group_name_Hall 'F -4 2 3'
_cell_length_a 6.591
_cell_length_b 6.591
_cell_length_c 6.591
_cell_angle_alpha 90.00
_cell_angle_beta 90.00
_cell_angle_gamma 90.00
loop_
_atom_site_label
_atom_site_type_symbol
_atom_site_fract_x
_atom_site_fract_y
_atom_site_fract_z
K1 K 0.000 0.000 0.000
Li1 Li 0.250 0.250 0.750
Ir1 Ir 0.000 0.000 0.500
```

Results
excess energy over the best structure of this formula in the dataset = 0.0 kJ per mole of atoms

---

No. 6
VASP calculation (GGA-PBE) on a relaxed ZrGa2C crystal.

Geometry as CIF:
```
data_ZrGa2C
_chemical_formula_sum 'Zr2 Ga4 C2'
_symmetry_space_group_name_H-M 'P 63/m m c'
_symmetry_Int_Tables_number 194
_symmetry_space_group_name_Hall '-P 6c 2c'
_cell_length_a 3.2013
_cell_length_b 3.2013
_cell_length_c 14.0156
_cell_angle_alpha 90.00
_cell_angle_beta 90.00
_cell_angle_gamma 120.00
loop_
_atom_site_label
_atom_site_type_symbol
_atom_site_fract_x
_atom_site_fract_y
_atom_site_fract_z
Zr1 Zr 0.3333 0.6667 0.2500
Ga1 Ga 0.3333 0.6667 0.5789
C1 C 0.0000 0.0000 0.0000
```

---

No. 7
VASP calculation (GGA-PBE) on a relaxed TbAuSO crystal.

Geometry as CIF:
```
data_TbAuSO
_chemical_formula_sum 'Tb4 Au4 S4 O4'
_symmetry_space_group_name_H-M 'P 1 21 1'
_symmetry_Int_Tables_number 4
_symmetry_space_group_name_Hall 'P 2yb'
_cell_length_a 5.662
_cell_length_b 5.656
_cell_length_c 10.780
_cell_angle_alpha 90.00
_cell_angle_beta 91.84
_cell_angle_gamma 90.00
loop_
_atom_site_label
_atom_site_type_symbol
_atom_site_fract_x
_atom_site_fract_y
_atom_site_fract_z
Tb1 Tb 0.005 0.000 0.100
Tb2 Tb 0.494 0.000 0.900
Au1 Au 0.187 0.273 0.497
Au2 Au 0.498 0.020 0.280
S1 S 0.203 0.309 0.284
S2 S 0.208 0.232 0.710
O1 O 0.248 0.749 0.000
O2 O 0.251 0.249 0.999
```

Results
excess energy over the best structure of this formula in the dataset = 0.0 kJ per mole of atoms

---

No. 8
VASP calculation (GGA-PBE) on a relaxed La2PrMg3TlIn2 crystal.

Geometry as CIF:
```
data_La2PrMg3TlIn2
_chemical_formula_sum 'La4 Pr2 Mg6 Tl2 In4'
_symmetry_space_group_name_H-M 'A m m 2'
_symmetry_Int_Tables_number 38
_symmetry_space_group_name_Hall 'A 2 -2'
_cell_length_a 4.824
_cell_length_b 13.496
_cell_length_c 7.832
_cell_angle_alpha 90.00
_cell_angle_beta 90.00
_cell_angle_gamma 90.00
loop_
_atom_site_label
_atom_site_type_symbol
_atom_site_fract_x
_atom_site_fract_y
_atom_site_fract_z
La1 La 0.000 0.214 0.000
Pr1 Pr 0.000 0.000 0.360
Mg1 Mg 0.500 0.000 0.029
Mg2 Mg 0.500 0.121 0.664
Tl1 Tl 0.000 0.000 0.784
In1 In 0.500 0.165 0.286
```

---

No. 9
VASP calculation (GGA-PBE) on a relaxed Rb6Fe2S crystal.

Geometry as CIF:
```
data_Rb6Fe2S
_chemical_formula_sum 'Rb6 Fe2 S1'
_symmetry_space_group_name_H-M 'P m m m'
_symmetry_Int_Tables_number 47
_symmetry_space_group_name_Hall '-P 2 2'
_cell_length_a 6.042
_cell_length_b 6.048
_cell_length_c 13.925
_cell_angle_alpha 90.00
_cell_angle_beta 90.00
_cell_angle_gamma 90.00
loop_
_atom_site_label
_atom_site_type_symbol
_atom_site_fract_x
_atom_site_fract_y
_atom_site_fract_z
Rb1 Rb 0.000 0.000 0.000
Rb2 Rb 0.000 0.000 0.500
Rb3 Rb 0.000 0.500 0.170
Rb4 Rb 0.500 0.000 0.172
Fe1 Fe 0.000 0.000 0.258
S1 S 0.500 0.500 0.000
```

---

No. 10
VASP calculation (GGA-PBE) on a relaxed AcNi2Ge2 crystal.

Geometry as CIF:
```
data_AcNi2Ge2
_chemical_formula_sum 'Ac2 Ni4 Ge4'
_symmetry_space_group_name_H-M 'I 4/m m m'
_symmetry_Int_Tables_number 139
_symmetry_space_group_name_Hall '-I 4 2'
_cell_length_a 4.277
_cell_length_b 4.277
_cell_length_c 10.182
_cell_angle_alpha 90.00
_cell_angle_beta 90.00
_cell_angle_gamma 90.00
loop_
_atom_site_label
_atom_site_type_symbol
_atom_site_fract_x
_atom_site_fract_y
_atom_site_fract_z
Ac1 Ac 0.000 0.000 0.000
Ni1 Ni 0.000 0.000 0.370
Ge1 Ge 0.000 0.500 0.250
```

Results
excess energy over the best structure of this formula in the dataset = 9.5 kJ per mole of atoms

---

No. 11
VASP calculation (GGA-PBE) on a relaxed ErPd2Pb crystal.

Geometry as CIF:
```
data_ErPd2Pb
_chemical_formula_sum 'Er2 Pd4 Pb2'
_symmetry_space_group_name_H-M 'P m c 21'
_symmetry_Int_Tables_number 26
_symmetry_space_group_name_Hall 'P 2c -2'
_cell_length_a 4.161
_cell_length_b 5.995
_cell_length_c 6.807
_cell_angle_alpha 90.00
_cell_angle_beta 90.00
_cell_angle_gamma 90.00
loop_
_atom_site_label
_atom_site_type_symbol
_atom_site_fract_x
_atom_site_fract_y
_atom_site_fract_z
Er1 Er 0.000 0.136 0.000
Pd1 Pd 0.000 0.402 0.358
Pd2 Pd 0.500 0.090 0.287
Pb1 Pb 0.500 0.361 0.648
```

---

No. 12
VASP calculation (GGA-PBE) on a relaxed AgSnTe2 crystal.

Geometry as CIF:
```
data_AgSnTe2
_chemical_formula_sum 'Ag4 Sn4 Te8'
_symmetry_space_group_name_H-M 'F -4 3 m'
_symmetry_Int_Tables_number 216
_symmetry_space_group_name_Hall 'F -4 2 3'
_cell_length_a 7.480
_cell_length_b 7.480
_cell_length_c 7.480
_cell_angle_alpha 90.00
_cell_angle_beta 90.00
_cell_angle_gamma 90.00
loop_
_atom_site_label
_atom_site_type_symbol
_atom_site_fract_x
_atom_site_fract_y
_atom_site_fract_z
Ag1 Ag 0.000 0.000 0.000
Sn1 Sn 0.250 0.250 0.750
Te1 Te 0.000 0.000 0.500
Te2 Te 0.250 0.250 0.250
```

---

Which uncorrected energy belongs to each record? In order, -36.3 -51.0 -111.7 -57.6 -35.3 -44.0 -99.4 -61.6 -20.9 -54.3 -42.2 -48.8 eV for the cell shown.